one) # ScTa2Cu2

An optimized crystal structure of ScTa2Cu2 (PBE, Alexandria).

Properties
DOS at the Fermi energy = 6.46 states/eV/f.u.
size of the total moment = 0.0 μB per cell

Unit cell a=3.9025 b=3.9025 c=12.0717 alpha=90.00 beta=90.00 gamma=90.00
Space group I4/mmm (No. 139)
Asymmetric unit:
Sc 0.0000 0.0000 0.0000
Ta 0.0000 0.0000 0.3891
Cu 0.0000 0.5000 0.2500

=====

two) # ScTa2Cu2

An optimized crystal structure of ScTa2Cu2 (PBE, Alexandria).

Properties
DOS at the Fermi energy = 5.03 states/eV/f.u.
size of the total moment = 0.0 μB per cell

Unit cell a=7.3650 b=7.3650 c=3.0717 alpha=90.00 beta=90.00 gamma=90.00
Space group P4/mbm (No. 127)
Asymmetric unit:
Sc 0.0000 0.0000 0.0000
Ta 0.1731 0.3269 0.5000
Cu 0.1214 0.6214 0.0000

=====

Energies relative to the most stable structure are one) 342; two) 0, reported in meV per atom.

=====

one) # Sc3TaCu

An optimized crystal structure of Sc3TaCu (PBE, Alexandria).

Properties
DOS at the Fermi energy = 3.47 states/eV/f.u.
size of the total moment = 0.0 μB per cell

Unit cell a=5.1025 b=5.1025 c=5.1025 alpha=90.00 beta=90.00 gamma=90.00
Space group Pm-3m (No. 221)
Asymmetric unit:
Sc 0.0000 0.0000 0.5000
Ta 0.0000 0.0000 0.0000
Cu 0.5000 0.5000 0.5000

=====

two) # Sc3TaCu

An optimized crystal structure of Sc3TaCu (PBE, Alexandria).

Properties
DOS at the Fermi energy = 7.66 states/eV/f.u.
size of the total moment = 0.4 μB per cell

Unit cell a=4.8449 b=4.8449 c=4.8449 alpha=90.00 beta=90.00 gamma=90.00
Space group Pm-3m (No. 221)
Asymmetric unit:
Sc 0.0000 0.0000 0.5000
Ta 0.5000 0.5000 0.5000
Cu 0.0000 0.0000 0.0000

=====

Energies relative to the most stable structure are one) 287; two) 0, reported in meV per atom.

=====

one) # TbSc2Cu

An optimized crystal structure of TbSc2Cu (PBE, Alexandria).

Properties
DOS at the Fermi energy = 6.31 states/eV/f.u.
size of the total moment = 0.0 μB per cell

Unit cell a=3.3229 b=3.3229 c=8.2231 alpha=90.00 beta=90.00 gamma=90.00
Space group P4/mmm (No. 123)
Asymmetric unit:
Tb 0.0000 0.0000 0.0000
Sc 0.5000 0.5000 0.3079
Cu 0.0000 0.0000 0.5000

=====

two) # TbSc2Cu

An optimized crystal structure of TbSc2Cu (PBE, Alexandria).

Properties
DOS at the Fermi energy = 5.47 states/eV/f.u.
size of the total moment = 0.0 μB per cell

Unit cell a=3.4164 b=3.4164 c=28.1995 alpha=90.00 beta=90.00 gamma=120.00
Space group R-3m (No. 166, hexagonal axes)
Asymmetric unit:
Tb 0.0000 0.0000 0.0000
Sc 0.0000 0.0000 0.2331
Cu 0.0000 0.0000 0.5000

=====

Energies relative to the most stable structure are one) 0; two) 140, reported in meV per atom.

=====

one) # TbSc2Cu

An optimized crystal structure of TbSc2Cu (PBE, Alexandria).

Properties
DOS at the Fermi energy = 5.71 states/eV/f.u.
size of the total moment = 0.0 μB per cell

Unit cell a=4.6953 b=10.9950 c=7.1918 alpha=90.00 beta=90.00 gamma=90.00
Space group Cmcm (No. 63)
Asymmetric unit:
Tb 0.0000 0.0530 0.2500
Sc 0.0000 0.3474 0.0376
Cu 0.0000 0.2055 0.7500

=====

two) # TbSc2Cu

An optimized crystal structure of TbSc2Cu (PBE, Alexandria).

Properties
DOS at the Fermi energy = 4.78 states/eV/f.u.
size of the total moment = 0.0 μB per cell

Unit cell a=6.3860 b=9.5381 c=6.0540 alpha=90.00 beta=90.00 gamma=90.00
Space group Pnma (No. 62)
Asymmetric unit:
Tb 0.0012 0.2500 0.1210
Sc 0.1769 0.5490 0.3164
Cu 0.0974 0.2500 0.5783

=====

three) # TbSc2Cu

An optimized crystal structure of TbSc2Cu (PBE, Alexandria).

Properties
DOS at the Fermi energy = 5.12 states/eV/f.u.
size of the total moment = 0.0 μB per cell

Unit cell a=3.4507 b=3.4507 c=27.7797 alpha=90.00 beta=90.00 gamma=120.00
Space group R3m (No. 160, hexagonal axes)
Asymmetric unit:
Tb 0.0000 0.0000 0.0000
Sc 0.0000 0.0000 0.2346
Sc 0.0000 0.0000 0.4354
Cu 0.0000 0.0000 0.8358

=====

Energies relative to the most stable structure are one) 6; two) 0; three) 156, reported in meV per atom.

=====

one) # ScCuTc

An optimized crystal structure of ScCuTc (PBE, Alexandria).

Properties
DOS at the Fermi energy = 2.87 states/eV/f.u.
size of the total moment = 0.0 μB per cell

Unit cell a=2.8196 b=2.8196 c=11.9328 alpha=90.00 beta=90.00 gamma=90.00
Space group I4mm (No. 107)
Asymmetric unit:
Sc 0.0000 0.0000 0.0000
Cu 0.0000 0.0000 0.3263
Tc 0.0000 0.0000 0.6779

=====

two) # ScCuTc

An optimized crystal structure of ScCuTc (PBE, Alexandria).

Properties
DOS at the Fermi energy = 2.02 states/eV/f.u.
size of the total moment = 0.0 μB per cell

Unit cell a=4.9097 b=5.0431 c=7.8144 alpha=90.00 beta=90.00 gamma=90.00
Space group Imma (No. 74)
Asymmetric unit:
Sc 0.0000 0.2500 0.1202
Cu 0.0000 0.0000 0.5000
Tc 0.2500 0.2500 0.7500

=====

Energies relative to the most stable structure are one) 344; two) 0, reported in meV per atom.

=====

one) # ScCuTc

An optimized crystal structure of ScCuTc (PBE, Alexandria).

Properties
DOS at the Fermi energy = 5.96 states/eV/f.u.
size of the total moment = 5.2 μB per cell

Unit cell a=6.0796 b=6.0796 c=6.0796 alpha=90.00 beta=90.00 gamma=90.00
Space group F-43m (No. 216)
Asymmetric unit:
Sc 0.0000 0.0000 0.0000
Cu 0.2500 0.2500 0.7500
Tc 0.2500 0.2500 0.2500

=====

two) # ScCuTc

An optimized crystal structure of ScCuTc (PBE, Alexandria).

Properties
DOS at the Fermi energy = 3.71 states/eV/f.u.
size of the total moment = 0.0 μB per cell

Unit cell a=3.2649 b=3.2649 c=8.9587 alpha=90.00 beta=90.00 gamma=90.00
Space group I4mm (No. 107)
Asymmetric unit:
Sc 0.0000 0.0000 0.0000
Cu 0.0000 0.0000 0.3162
Tc 0.0000 0.0000 0.6845

=====

Energies relative to the most stable structure are one) 879; two) 0, reported in meV per atom.

=====

one) # ScCuTc

An optimized crystal structure of ScCuTc (PBE, Alexandria).

Properties
DOS at the Fermi energy = 3.44 states/eV/f.u.
size of the total moment = 0.0 μB per cell

Unit cell a=4.5116 b=4.5116 c=2.6934 alpha=90.00 beta=90.00 gamma=120.00
Space group P3m1 (No. 156)
Asymmetric unit:
Sc 0.0000 0.0000 0.0000
Cu 0.6667 0.3333 0.6242
Tc 0.3333 0.6667 0.4137

=====

two) # ScCuTc

An optimized crystal structure of ScCuTc (PBE, Alexandria).

Properties
DOS at the Fermi energy = 4.51 states/eV/f.u.
size of the total moment = 4.4 μB per cell

Unit cell a=5.9927 b=5.9927 c=5.9927 alpha=90.00 beta=90.00 gamma=90.00
Space group F-43m (No. 216)
Asymmetric unit:
Sc 0.0000 0.0000 0.0000
Cu 0.2500 0.2500 0.7500
Tc 0.0000 0.0000 0.5000

=====

Energies relative to the most stable structure are one) 0; two) 307, reported in meV per atom.

=====

one) # Sc4CuTc

An optimized crystal structure of Sc4CuTc (PBE, Alexandria).

Properties
DOS at the Fermi energy = 3.68 states/eV/f.u.
size of the total moment = 0.0 μB per cell

Unit cell a=4.7589 b=4.7589 c=20.0686 alpha=90.00 beta=90.00 gamma=120.00
Space group R-3m (No. 166, hexagonal axes)
Asymmetric unit:
Sc 0.0000 0.0000 0.1269
Sc 0.0000 0.0000 0.3690
Cu 0.0000 0.0000 0.5000
Tc 0.0000 0.0000 0.0000

=====

two) # Sc4CuTc

An optimized crystal structure of Sc4CuTc (PBE, Alexandria).

Properties
DOS at the Fermi energy = 5.42 states/eV/f.u.
size of the total moment = 0.0 μB per cell

Unit cell a=3.2714 b=3.2714 c=11.3400 alpha=90.00 beta=90.00 gamma=90.00
Space group P4/mmm (No. 123)
Asymmetric unit:
Sc 0.0000 0.0000 0.1338
Sc 0.5000 0.5000 0.3586
Cu 0.0000 0.0000 0.5000
Tc 0.5000 0.5000 0.0000

=====

three) # Sc4CuTc

An optimized crystal structure of Sc4CuTc (PBE, Alexandria).

Properties
DOS at the Fermi energy = 4.60 states/eV/f.u.
size of the total moment = 0.0 μB per cell

Unit cell a=7.7711 b=7.7711 c=7.7711 alpha=90.00 beta=90.00 gamma=90.00
Space group F-43m (No. 216)
Asymmetric unit:
Sc 0.1237 0.1237 0.1237
Cu 0.0000 0.0000 0.5000
Tc 0.2500 0.2500 0.7500

=====

Energies relative to the most stable structure are one) 174; two) 0; three) 768, reported in meV per atom.